(1)
VASP calculation (GGA-PBE) on an optimized crystal structure of PaCo3B.

**Symmetry**: Imma, No. 74

abc: 6.0726 5.2745 5.6081
angles: 118.05 122.78 90.00
With the nearest neighbours (Å) after each atom.
Sites, in units of the cell vectors:
Co 0.2503 0.7503 0.0006  2 B 2.01
Co 0.2497 0.2497 0.9994  2 B 2.01
Co 0.7500 0.2495 0.5000  2 B 1.95
Co 0.7503 0.7503 0.0006  2 B 2.01
Co 0.2500 0.7505 0.5000  2 B 1.95
Co 0.7497 0.2497 0.9994  2 B 2.01
Pa 0.7500 0.7494 0.5000  10 Co 2.64-2.80
Pa 0.2500 0.2506 0.5000  10 Co 2.64-2.80
B 0.0000 0.5000 0.0000  6 Co 1.95-2.01
B 0.5000 0.0000 0.0000  6 Co 1.95-2.01

***

(2)
VASP calculation (GGA-PBE) on an optimized crystal structure of Pa3Co2B9.

**Symmetry**: Immm, No. 71

abc: 3.1041 7.7501 7.7501
angles: 58.85 78.45 78.45
With the nearest neighbours (Å) after each atom.
Sites, in units of the cell vectors:
B 0.8769 0.4006 0.8457  2 B 1.69
B 0.6318 0.6773 0.0592  2 B 1.69
B 0.1231 0.5994 0.1543  2 B 1.69
B 0.8769 0.8457 0.4006  2 B 1.69
B 0.0000 0.5000 0.5000  4 Co 2.00
B 0.3682 0.3227 0.9408  2 B 1.69
B 0.1231 0.1543 0.5994  2 B 1.69
B 0.3682 0.9408 0.3227  2 B 1.69
B 0.6318 0.0592 0.6773  2 B 1.69
Co 0.5000 0.3351 0.6649  4 B 2.00-2.05
Co 0.5000 0.6649 0.3351  4 B 2.00-2.05
Pa 0.0000 0.0000 0.0000  12 B 2.66-2.74
Pa 0.2668 0.7332 0.7332  12 B 2.70-2.83
Pa 0.7332 0.2668 0.2668  12 B 2.70-2.83

***

(3)
VASP calculation (GGA-PBE) on an optimized crystal structure of Pa3Co2B4.

**Symmetry**: Immm, No. 71

abc: 3.6954 7.2343 7.2343
angles: 47.24 75.20 75.20
With the nearest neighbours (Å) after each atom.
Sites, in units of the cell vectors:
Co 0.0000 0.8087 0.1913  2 B 2.05, 1 Co 2.22
Co 0.0000 0.1913 0.8087  2 B 2.05, 1 Co 2.22
Pa 0.3289 0.1711 0.1711  6 B 2.51-2.77
Pa 0.5000 0.5000 0.5000  4 Co 2.57, 8 B 2.74
Pa 0.6711 0.8289 0.8289  6 B 2.51-2.77
B 0.8567 0.7916 0.4950  1 B 1.72
B 0.1433 0.5050 0.2084  1 B 1.72
B 0.8567 0.4950 0.7916  1 B 1.72
B 0.1433 0.2084 0.5050  1 B 1.72

***

(4)
VASP calculation (GGA-PBE) on an optimized crystal structure of Pa2Co5B4.

**Symmetry**: Fmmm, No. 69

abc: 5.0590 5.1360 6.0892
angles: 78.19 65.45 60.49
With the nearest neighbours (Å) after each atom.
Sites, in units of the cell vectors:
Co 0.2500 0.5000 0.5000  4 B 2.00
Co 0.0000 0.5000 0.0000  4 B 2.12
Co 0.7500 0.5000 0.5000  4 B 2.00
Co 0.5000 0.5000 0.0000  4 B 2.12
Co 0.5000 0.0000 0.0000  4 B 2.02
B 0.5216 0.6910 0.2659  5 Co 2.00-2.12
B 0.2126 0.3090 0.2659  5 Co 2.00-2.12
B 0.4784 0.3090 0.7341  5 Co 2.00-2.12
B 0.7874 0.6910 0.7341  5 Co 2.00-2.12
Pa 0.8663 0.0000 0.2673  10 Co 2.87-2.96, 8 B 2.88-3.09, 1 Pa 2.96
Pa 0.1337 0.0000 0.7327  10 Co 2.87-2.96, 8 B 2.88-3.09, 1 Pa 2.96

***

(5)
VASP calculation (GGA-PBE) on an optimized crystal structure of Pa2Co3B5.

**Symmetry**: Ibam, No. 72

abc: 4.9605 7.2159 7.2159
angles: 72.12 69.90 69.90
With the nearest neighbours (Å) after each atom.
Sites, in units of the cell vectors:
Co 0.2500 0.0000 0.0000  6 B 2.10-2.19
Co 0.3588 0.5391 0.7434  5 B 2.12-2.32
Co 0.8588 0.7434 0.5391  5 B 2.12-2.32
Co 0.7500 0.0000 0.0000  6 B 2.10-2.19
Co 0.6412 0.4609 0.2566  5 B 2.12-2.32
Co 0.1412 0.2566 0.4609  5 B 2.12-2.32
B 0.2500 0.5000 0.5000  4 Co 2.12
B 0.1257 0.9995 0.7492  2 B 1.85
B 0.8743 0.0005 0.2508  2 B 1.85
B 0.6257 0.7492 0.9995  2 B 1.85
B 0.3743 0.2508 0.0005  2 B 1.85
B 0.4574 0.7926 0.7926  2 B 1.85
B 0.9574 0.7926 0.7926  2 B 1.85
B 0.5426 0.2074 0.2074  2 B 1.85
B 0.7500 0.5000 0.5000  4 Co 2.12
B 0.0426 0.2074 0.2074  2 B 1.85
Pa 0.6249 0.1452 0.6049  10 B 2.66-2.92, 6 Co 2.71-2.92
Pa 0.8751 0.3951 0.8548  10 B 2.66-2.92, 6 Co 2.71-2.92
Pa 0.1249 0.6049 0.1452  10 B 2.66-2.92, 6 Co 2.71-2.92
Pa 0.3751 0.8548 0.3951  10 B 2.66-2.92, 6 Co 2.71-2.92

***

(6)
VASP calculation (GGA-PBE) on an optimized crystal structure of PaCo2B4.

**Symmetry**: Immm, No. 71

abc: 3.0621 3.1887 7.4662
angles: 102.33 101.83 90.00
With the nearest neighbours (Å) after each atom.
Sites, in units of the cell vectors:
B 0.3386 0.3386 0.6771  2 B 1.70
B 0.8911 0.3911 0.7822  2 B 1.70
B 0.6614 0.6614 0.3229  2 B 1.70
B 0.1089 0.6089 0.2178  2 B 1.70
Co 0.1950 0.1950 0.3900  3 B 2.01-2.05
Co 0.8050 0.8050 0.6100  3 B 2.01-2.05
Pa 0.5000 0.0000 0.0000  12 B 2.70-2.80

***

(7)
VASP calculation (GGA-PBE) on an optimized crystal structure of PaCo12B6.

**Symmetry**: R-3m, No. 166

abc: 5.9518 5.9518 5.9518
angles: 104.29 104.29 104.29
With the nearest neighbours (Å) after each atom.
Sites, in units of the cell vectors:
Co 0.5489 0.8154 0.5489  3 B 2.11-2.12
Co 0.5000 0.1328 0.8672  4 B 2.02-2.03
Co 0.4511 0.1846 0.4511  3 B 2.11-2.12
Co 0.8154 0.5489 0.5489  3 B 2.11-2.12
Co 0.1846 0.4511 0.4511  3 B 2.11-2.12
Co 0.5000 0.8672 0.1328  4 B 2.02-2.03
Co 0.8672 0.1328 0.5000  4 B 2.02-2.03
Co 0.4511 0.4511 0.1846  3 B 2.11-2.12
Co 0.1328 0.8672 0.5000  4 B 2.02-2.03
Co 0.8672 0.5000 0.1328  4 B 2.02-2.03
Co 0.1328 0.5000 0.8672  4 B 2.02-2.03
Co 0.5489 0.5489 0.8154  3 B 2.11-2.12
B 0.2326 0.2326 0.6771  7 Co 2.02-2.12
B 0.7674 0.7674 0.3229  7 Co 2.02-2.12
B 0.3229 0.7674 0.7674  7 Co 2.02-2.12
B 0.2326 0.6771 0.2326  7 Co 2.02-2.12
B 0.7674 0.3229 0.7674  7 Co 2.02-2.12
B 0.6771 0.2326 0.2326  7 Co 2.02-2.12
Pa 0.0000 0.0000 0.0000  18 Co 3.03-3.23, 6 B 3.03

***

(8)
VASP calculation (GGA-PBE) on an optimized crystal structure of Pa3Co9B2.

**Symmetry**: Immm, No. 71

abc: 3.5618 7.4394 7.4394
angles: 76.44 76.15 76.15
With the nearest neighbours (Å) after each atom.
Sites, in units of the cell vectors:
Co 0.1055 0.1688 0.6202  2 B 2.15, 4 Co 2.32-2.39
Co 0.6784 0.9599 0.6832  1 B 2.23, 2 Co 2.32
Co 0.6784 0.6832 0.9599  1 B 2.23, 2 Co 2.32
Co 0.8945 0.3798 0.8312  2 B 2.15, 4 Co 2.32-2.39
Co 0.3216 0.3168 0.0401  1 B 2.23, 2 Co 2.32
Co 0.8945 0.8312 0.3798  2 B 2.15, 4 Co 2.32-2.39
Co 0.0000 0.5000 0.5000  4 Co 2.39, 4 Pa 2.65
Co 0.3216 0.0401 0.3168  1 B 2.23, 2 Co 2.32
Co 0.1055 0.6202 0.1688  2 B 2.15, 4 Co 2.32-2.39
B 0.5000 0.7524 0.2476  6 Co 2.15-2.23
B 0.5000 0.2476 0.7524  6 Co 2.15-2.23
Pa 0.6765 0.3235 0.3235  10 Co 2.65-2.85
Pa 0.0000 0.0000 0.0000  12 Co 2.78-2.96, 4 B 2.89
Pa 0.3235 0.6765 0.6765  10 Co 2.65-2.85

***

| no. | DFT total energy (eV/atom) | magnetization (μB/f.u.) |
| --- | --- | --- |
| 1 | -7.888 | 0.00 |
| 2 | -7.709 | 0.00 |
| 3 | -7.884 | 0.00 |
| 4 | -7.880 | 0.00 |
| 5 | -7.822 | 0.00 |
| 6 | -7.578 | 0.00 |
| 7 | -7.449 | 6.63 |
| 8 | -7.768 | 0.01 |